DFT (GGA-PBE) results for an optimized crystal structure of BeZnTe2N.

Cell lengths 5.5449, 5.5449, 3.0936 Å; angles 90.00, 90.00, 90.00 degrees
Last column: nearest neighbours and their distance in Å.
Fractional positions:
Be 0.0000 0.0000 0.0000  2 N 1.55
Zn 0.5000 0.5000 0.5000  2 Zn 3.09, 8 Te 3.17
Te 0.0000 0.5000 0.0000  2 Be 2.77, 2 Te 3.09
Te 0.5000 0.0000 0.0000  2 Be 2.77, 2 Te 3.09
N 0.0000 0.0000 0.5000  2 Be 1.55

Values from the calculation:
Energy relative to the lowest polymorph listed for this composition (meV/atom): 0
Crystal system: tetragonal
V (Å³ per atom): 19.023
E_form (uncorrected) (meV per atom): 336
Density (Mg/m³): 5.999